# VCoI2O

A geometry-optimized VCoI2O structure (PBE with a Hubbard U, Alexandria).

Summary:
Polymorph energy (0 for the lowest one): 0.42 eV per formula unit
Magnetic moment: 0.817 μB/atom

Cell and atoms, written as CIF:
```
data_VCoI2O
_symmetry_space_group_name_H-M 'P 4/m m m'
_symmetry_Int_Tables_number 123
_symmetry_space_group_name_Hall '-P 4 2'
_cell_length_a 5.512
_cell_length_b 5.512
_cell_length_c 3.628
_cell_angle_alpha 90.00
_cell_angle_beta 90.00
_cell_angle_gamma 90.00
loop_
_atom_site_label
_atom_site_fract_x
_atom_site_fract_y
_atom_site_fract_z
_atom_site_occupancy
V1 0.000 0.000 0.000 1
Co1 0.500 0.500 0.500 1
I1 0.000 0.500 0.500 1
O1 0.500 0.500 0.000 1
```